Run i
Entry from Alexandria: a geometry-optimized LiNiIr2 structure (GGA-PBEsol).

Cell and atoms, written as extended XYZ:
```
4
Lattice="2.637 0.000 0.000 0.000 3.786 0.000 0.000 0.000 5.050" Properties=species:S:1:pos:R:3 pbc="T T T"
Li 0.000 0.000 0.000
Ni 1.319 1.893 1.139
Ir 0.000 0.000 2.486
Ir 1.319 1.893 3.685
```

Computed properties:
Space-group type: No. 25

=====

Run ii
Entry from Alexandria: a geometry-optimized LiNiIr2 structure (GGA-PBEsol).

Cell and atoms, written as extended XYZ:
```
4
Lattice="4.398 -1.322 0.000 4.398 1.322 0.000 -0.743 0.000 4.343" Properties=species:S:1:pos:R:3 pbc="T T T"
Li 0.000 0.000 0.000
Ni 1.549 0.000 3.492
Ir 4.085 0.000 2.186
Ir 6.470 0.000 1.336
```

Computed properties:
Space-group type: No. 8

=====

Question: of the structures shown, which is the most stable? Reply: run ii.